VASP calculation (GGA-PBE) on a geometry-optimized TaSiSe4 structure.

The structure in POSCAR format:
```
TaSiSe4
1.0
5.771 0.000 0.000
0.000 5.771 0.000
0.000 0.000 10.626
Se Ta Si
8 2 2
Cartesian
1.529 4.380 6.621
4.380 1.529 1.308
4.380 4.241 4.004
1.529 1.391 9.317
4.241 1.391 6.621
1.391 4.241 1.308
4.241 4.380 9.317
1.391 1.529 4.004
0.000 0.000 0.000
0.000 0.000 5.313
0.000 2.885 2.656
2.885 0.000 7.969
```

## Properties
E_form (uncorrected) in kJ/mol of formula units: -212
Energy above the most stable polymorph in this dataset in eV per atom: 0.0000

VASP calculation (GGA-PBE) on a geometry-optimized RbNaCa2Hg structure.

The structure in POSCAR format:
```
RbNaCa2Hg
1.0
6.033 0.000 0.000
0.000 6.033 0.000
0.000 0.000 6.282
Rb Hg Ca Na
1 1 2 1
Cartesian
3.016 3.016 3.141
0.000 0.000 0.000
0.000 3.016 0.000
3.016 0.000 0.000
0.000 0.000 3.141
```

## Properties
Formation energy in meV per atom: -57

VASP calculation (GGA-PBE) on a geometry-optimized CaReTc2 structure.

The structure in POSCAR format:
```
CaReTc2
1.0
-2.722 3.485 1.158
-3.660 -2.460 -1.205
-0.203 -1.128 2.919
Tc Ca Re
2 1 1
Cartesian
-3.191 0.513 -0.023
0.000 0.000 0.000
-1.463 1.178 2.039
-1.931 -1.794 0.857
```

## Properties
Formation energy in meV per atom: 598
Energy above the most stable polymorph in this dataset in eV per atom: 0.2105

VASP calculation (GGA-PBE) on a geometry-optimized Be2CdGa2 structure.

The structure in POSCAR format:
```
Be2CdGa2
1.0
3.735 0.000 0.000
0.000 3.735 0.000
1.868 1.868 5.577
Cd Ga Be
1 2 2
Cartesian
0.000 0.000 0.000
3.735 3.735 4.286
1.868 1.868 1.291
3.735 1.868 2.789
1.868 3.735 2.789
```

## Properties
Formation energy in meV per atom: 300
Energy above the most stable polymorph in this dataset in eV per atom: 0.0000

VASP calculation (GGA-PBE) on a geometry-optimized NiCl structure.

The structure in POSCAR format:
```
NiCl
1.0
-3.138 -0.150 -0.936
-1.909 -0.240 6.436
-0.177 3.264 0.069
Cl Ni
2 2
Cartesian
-0.025 0.459 0.010
-0.988 0.509 3.231
-1.683 2.022 -0.424
-2.646 2.061 2.798
```

## Properties
E_form (uncorrected) in kJ/mol of formula units: 21

VASP calculation (GGA-PBE) on a geometry-optimized FeSBr2 structure.

The structure in POSCAR format:
```
FeSBr2
1.0
-6.557 -0.016 -0.205
-0.201 -0.945 6.489
-3.410 3.895 3.778
Br S Fe
4 2 2
Cartesian
-1.307 0.382 4.989
-5.076 2.631 4.704
-8.485 2.009 8.817
-5.466 0.844 1.612
-3.379 -0.481 3.142
-3.495 1.234 6.704
0.000 0.000 0.000
-6.673 1.699 3.357
```

## Properties
E_form (uncorrected) in kJ/mol of formula units: 259
Energy above the most stable polymorph in this dataset in eV per atom: 0.1689

VASP calculation (GGA-PBE) on a geometry-optimized ThSi4Tc4 structure.

The structure in POSCAR format:
```
ThSi4Tc4
1.0
4.668 0.000 0.000
0.000 8.089 0.000
0.000 0.000 8.089
Si Tc Th
8 8 2
Cartesian
1.953 2.429 1.257
2.715 1.257 5.660
1.953 5.660 6.833
0.381 1.615 2.788
4.287 5.301 1.615
4.287 2.788 6.474
0.381 6.474 5.301
2.715 6.833 2.429
4.263 3.029 0.986
1.930 5.030 1.016
2.738 7.074 5.030
1.930 3.059 7.074
4.263 5.060 7.104
2.738 1.016 3.059
0.404 7.104 3.029
0.404 0.986 5.060
2.334 4.045 4.045
0.000 0.000 0.000
```

## Properties
E_form (uncorrected) in kJ/mol of formula units: -469

VASP calculation (GGA-PBE) on a geometry-optimized Zn2CuW structure.

The structure in POSCAR format:
```
Zn2CuW
1.0
2.673 -0.083 0.000
-0.185 2.668 0.000
0.000 0.000 8.027
Zn Cu W
2 1 1
Cartesian
0.000 0.000 0.032
1.244 1.292 2.097
0.000 0.000 3.952
1.244 1.292 5.958
```

## Properties
Formation energy in meV per atom: 142
Energy above the most stable polymorph in this dataset in eV per atom: 0.0380

VASP calculation (GGA-PBE) on a geometry-optimized ZrSIN2 structure.

The structure in POSCAR format:
```
ZrSIN2
1.0
-1.123 1.136 3.788
-1.657 -3.711 0.621
5.768 -2.179 2.364
I N Zr S
1 2 1 1
Cartesian
2.884 -1.090 1.182
-0.562 0.568 1.894
-0.828 -1.855 0.311
0.000 0.000 0.000
1.494 -2.377 3.387
```

## Properties
E_form (uncorrected) in kJ/mol of formula units: 325
Energy above the most stable polymorph in this dataset in eV per atom: 0.1322

VASP calculation (GGA-PBE) on a geometry-optimized ErTmMgTl structure.

The structure in POSCAR format:
```
ErTmMgTl
1.0
-3.003 -4.351 -0.056
-0.302 -3.059 4.301
-4.470 -0.163 2.819
Tl Er Mg Tm
1 1 1 1
Cartesian
0.000 0.000 0.000
-1.944 -1.893 1.766
-3.888 -3.786 3.532
-5.832 -5.680 5.298
```

## Properties
Formation energy in meV per atom: -201

VASP calculation (GGA-PBE) on a geometry-optimized Pm2Dy6Sc structure.

The structure in POSCAR format:
```
Pm2Dy6Sc
1.0
-0.582 -3.328 -0.645
7.530 -2.448 5.832
-8.839 2.485 4.164
Dy Pm Sc
6 2 1
Cartesian
4.380 -2.127 6.978
1.976 -2.401 1.433
4.972 -3.376 3.754
-6.271 -1.164 2.373
-1.517 -2.710 6.055
-0.374 -0.581 3.296
1.686 -3.020 4.847
-3.577 -0.271 4.504
0.000 0.000 0.000
```

## Properties
Formation energy in meV per atom: 200
Energy above the most stable polymorph in this dataset in eV per atom: 0.0992

VASP calculation (GGA-PBE) on a geometry-optimized TbEuP structure.

The structure in POSCAR format:
```
TbEuP
1.0
-3.924 3.571 -4.167
-2.824 0.238 2.863
2.852 2.834 -0.257
Tb Eu P
1 1 1
Cartesian
0.046 2.800 -0.188
-3.877 3.783 -1.304
-0.065 0.059 -0.069
```

## Properties
Formation energy in meV per atom: -889

VASP calculation (GGA-PBE) on a geometry-optimized ScFeB4 structure.

The structure in POSCAR format:
```
ScFeB4
1.0
4.147 0.000 0.000
2.074 3.592 0.000
2.074 1.197 3.386
Fe Sc B
1 1 4
Cartesian
0.000 0.000 0.000
2.074 1.197 0.847
5.088 2.938 2.077
4.147 1.308 2.077
3.206 2.938 2.077
4.147 2.394 0.541
```

## Properties
Formation energy in meV per atom: 238

VASP calculation (GGA-PBE) on a geometry-optimized CeHoPtAu structure.

The structure in POSCAR format:
```
CeHoPtAu
1.0
-0.372 2.236 -3.029
-2.647 -3.269 -2.088
-4.202 1.063 3.664
Ce Ho Pt Au
1 1 1 1
Cartesian
-1.218 0.605 0.597
-4.701 1.070 -0.995
-3.591 1.785 1.759
-2.286 -0.131 -2.178
```

## Properties
Formation energy in meV per atom: -966
Energy above the most stable polymorph in this dataset in eV per atom: 0.0000

VASP calculation (GGA-PBE) on a geometry-optimized BaLi2Pb6 structure.

The structure in POSCAR format:
```
BaLi2Pb6
1.0
-5.252 -6.662 4.243
3.631 -5.057 7.157
-3.147 1.361 8.844
Pb Ba Li
12 2 4
Cartesian
-0.854 -5.487 5.628
-5.734 -5.247 11.774
-1.959 -8.821 10.834
0.965 -5.111 8.471
-2.463 -3.247 2.456
1.473 -2.535 3.747
-1.530 0.309 4.495
0.079 -1.932 7.666
-3.858 -2.644 6.375
-3.981 -6.005 6.848
-0.787 -4.352 13.396
-2.809 -1.537 9.411
-2.384 -5.179 10.122
-3.577 -7.768 15.184
-3.222 -4.626 4.652
1.219 -3.823 6.109
-2.170 -0.614 6.953
-0.596 -1.295 2.531
```

## Properties
Formation energy in meV per atom: 40

VASP calculation (GGA-PBE) on a geometry-optimized Pm5Tm4Th structure.

The structure in POSCAR format:
```
Pm5Tm4Th
1.0
3.561 0.000 0.000
0.000 10.396 1.547
-1.781 -0.256 9.054
Pm Tm Th
5 4 1
Cartesian
1.781 5.198 0.774
1.781 2.111 6.874
0.000 8.029 3.728
0.000 4.101 4.055
1.781 6.039 6.546
1.781 0.783 3.407
0.000 9.357 7.195
1.781 7.687 9.375
0.000 2.453 1.226
1.781 0.000 0.000
```

## Properties
Formation energy in meV per atom: 152
Energy above the most stable polymorph in this dataset in eV per atom: 0.1100

VASP calculation (GGA-PBE) on a geometry-optimized NaAc2USe5 structure.

The structure in POSCAR format:
```
NaAc2USe5
1.0
4.349 0.000 0.000
-2.174 8.969 0.000
0.000 0.000 13.161
Na Se Ac U
2 10 4 2
Cartesian
2.174 0.545 12.717
0.000 8.424 6.136
2.174 7.916 7.602
0.000 5.587 4.723
0.000 1.053 1.022
2.174 0.114 3.534
0.000 8.855 10.115
2.174 2.410 6.581
2.174 3.932 2.096
0.000 5.037 8.677
0.000 6.559 0.001
2.174 3.382 11.304
0.000 2.389 3.924
2.174 7.082 2.442
2.174 6.580 10.505
0.000 1.887 9.023
2.174 5.316 6.706
0.000 3.654 0.126
```

## Properties
E_form (uncorrected) in kJ/mol of formula units: -1352

VASP calculation (GGA-PBE) on a geometry-optimized K3TmNp3S8 structure.

The structure in POSCAR format:
```
K3TmNp3S8
1.0
-0.181 8.039 -0.673
-6.785 -4.070 1.582
5.903 0.675 6.469
K Tm Np S
3 1 3 8
Cartesian
0.000 0.000 0.000
-3.392 -2.035 0.791
-3.483 1.985 0.454
2.952 0.337 3.235
-0.441 -1.698 4.026
-0.531 2.322 3.689
2.861 4.357 2.898
1.514 2.198 1.855
-1.892 0.177 2.620
0.934 0.445 5.065
-1.997 4.199 2.313
0.830 4.467 4.758
-2.485 -1.606 5.862
-2.576 2.446 5.523
1.423 6.250 1.516
```

## Properties
E_form (uncorrected) in kJ/mol of formula units: -2205

VASP calculation (GGA-PBE) on a geometry-optimized Li2NiAg structure.

The structure in POSCAR format:
```
Li2NiAg
1.0
4.772 0.011 0.018
3.987 2.621 0.018
0.781 0.235 4.578
Li Ni Ag
2 1 1
Cartesian
0.815 0.245 4.551
2.298 0.690 1.221
4.765 1.432 2.299
7.213 2.167 3.428
```

## Properties
Formation energy in meV per atom: -5

VASP calculation (GGA-PBE) on a geometry-optimized K4Tb3TiTe8 structure.

The structure in POSCAR format:
```
K4Tb3TiTe8
1.0
-0.248 -0.820 -8.818
-3.339 -9.055 0.936
-4.597 6.445 3.981
K Te Tb Ti
4 8 3 1
Cartesian
-0.124 -0.410 -4.409
0.000 0.000 0.000
-2.298 3.222 1.990
-2.422 2.812 -2.419
-6.890 -0.243 2.562
-1.294 -3.188 -6.463
-4.468 -3.639 0.464
-3.716 0.209 -4.366
-4.744 -3.993 -3.946
-7.021 -0.675 -2.085
-3.440 0.563 0.045
-1.163 -2.755 -1.816
-3.968 -1.305 2.459
-1.794 -4.938 -3.941
-4.092 -1.715 -1.951
-1.669 -4.527 0.468
```

## Properties
E_form (uncorrected) in kJ/mol of formula units: -1905

VASP calculation (GGA-PBE) on a geometry-optimized V3IrAu structure.

The structure in POSCAR format:
```
V3IrAu
1.0
-1.889 0.649 -4.124
-4.158 -0.701 1.794
-0.377 4.482 0.878
V Au Ir
3 1 1
Cartesian
-0.188 2.241 0.439
-0.944 0.325 -2.062
-2.079 -0.351 0.897
-3.212 2.215 -0.726
0.000 0.000 0.000
```

## Properties
Formation energy in meV per atom: 888
Energy above the most stable polymorph in this dataset in eV per atom: 0.0000

VASP calculation (GGA-PBE) on a geometry-optimized BaCeRuN3 structure.

The structure in POSCAR format:
```
BaCeRuN3
1.0
3.631 0.000 0.000
0.000 7.841 0.553
0.000 -2.452 8.024
N Ba Ce Ru
6 2 2 2
Cartesian
2.723 3.184 1.241
0.908 2.205 7.336
2.723 -0.152 4.651
0.908 -1.018 6.891
0.908 5.541 3.926
2.723 6.407 1.686
2.723 4.394 6.984
0.908 0.995 1.593
0.908 4.680 1.611
2.723 0.708 6.966
0.908 -1.047 4.940
2.723 6.436 3.637
```

## Properties
E_form (uncorrected) in kJ/mol of formula units: -364